#i
A plane-wave DFT calculation with GGA-PBE was carried out for Ni5GeB after structural relaxation.

The density is 8.42 Mg/m³. The calculation puts the magnetic moment at 0.000 μB/f.u.

The space group is P4/mmm (No. 123) and the conventional cell measures 3.4985, 3.4985 and 6.0729 Å, with angles of 90.00, 90.00 and 90.00 degrees. Symmetry generates all atoms from Ni at (0.0000, 0.0000, 0.0000), Ni at (0.0000, 0.5000, 0.3034), Ge at (0.5000, 0.5000, 0.0000) and B at (0.0000, 0.0000, 0.5000).

#ii
A plane-wave DFT calculation with GGA-PBE was carried out for Ni5GeB after structural relaxation.

The density is 7.72 Mg/m³. The calculation puts the magnetic moment at 0.000 μB/f.u.

The space group is C2/c (No. 15) and the conventional cell measures 7.9159, 5.7335 and 7.9757 Å, with angles of 90.00, 116.41 and 90.00 degrees. Symmetry generates all atoms from Ni at (0.0000, 0.1732, 0.2500), Ni at (0.1278, 0.1157, 0.9877), Ni at (0.2176, 0.1526, 0.7265), Ge at (0.0000, 0.4201, 0.7500) and B at (0.2500, 0.2500, 0.5000).

Which one is most stable, and which one is least stable? #i is the most stable of them, while #ii is the least stable.

#i
A plane-wave DFT calculation with GGA-PBE was carried out for Ni3GeB after structural relaxation.

The density is 7.67 Mg/m³. The calculation puts the magnetic moment at 0.000 μB/f.u.

The space group is Pnma (No. 62) and the conventional cell measures 5.4049, 2.8768 and 14.4606 Å, with angles of 90.00, 90.00 and 90.00 degrees. Symmetry generates all atoms from Ni at (0.0145, 0.2500, 0.0725), Ni at (0.1267, 0.7500, 0.4483), Ni at (0.2058, 0.2500, 0.6787), Ge at (0.1782, 0.2500, 0.3069) and B at (0.2497, 0.2500, 0.5374).

#ii
A plane-wave DFT calculation with GGA-PBE was carried out for Ni3GeB after structural relaxation.

The density is 8.01 Mg/m³. The calculation puts the magnetic moment at 0.000 μB/f.u.

The space group is P6_3/mmc (No. 194) and the conventional cell measures 5.6476, 5.6476 and 3.8966 Å, with angles of 90.00, 90.00 and 120.00 degrees. Symmetry generates all atoms from Ni at (0.1815, 0.3629, 0.2500), Ge at (0.3333, 0.6667, 0.7500) and B at (0.0000, 0.0000, 0.0000).

Which one is most stable, and which one is least stable? #ii is the most stable of them, while #i is the least stable.

#i
A plane-wave DFT calculation with GGA-PBE was carried out for Ni3GeB after structural relaxation.

The density is 7.62 Mg/m³. The calculation puts the magnetic moment at 0.000 μB/f.u.

The space group is Pm-3m (No. 221) and the conventional cell measures 3.8390, 3.8390 and 3.8390 Å, with angles of 90.00, 90.00 and 90.00 degrees. Symmetry generates all atoms from Ni at (0.0000, 0.0000, 0.5000), Ge at (0.5000, 0.5000, 0.5000) and B at (0.0000, 0.0000, 0.0000).

#ii
A plane-wave DFT calculation with GGA-PBE was carried out for Ni3GeB after structural relaxation.

The density is 5.47 Mg/m³. The calculation puts the magnetic moment at 0.541 μB/f.u.

The space group is Pm-3m (No. 221) and the conventional cell measures 4.2861, 4.2861 and 4.2861 Å, with angles of 90.00, 90.00 and 90.00 degrees. Symmetry generates all atoms from Ni at (0.0000, 0.0000, 0.5000), Ge at (0.0000, 0.0000, 0.0000) and B at (0.5000, 0.5000, 0.5000).

Which one is most stable, and which one is least stable? #i is the most stable of them, while #ii is the least stable.

#i
A plane-wave DFT calculation with GGA-PBE was carried out for Ni5GeB2 after structural relaxation.

The density is 8.06 Mg/m³. The calculation puts the magnetic moment at 0.000 μB/f.u.

The space group is I4/mcm (No. 140) and the conventional cell measures 5.5810, 5.5810 and 10.2585 Å, with angles of 90.00, 90.00 and 90.00 degrees. Symmetry generates all atoms from Ni at (0.0000, 0.0000, 0.0000), Ni at (0.1694, 0.3306, 0.1317), Ge at (0.0000, 0.0000, 0.2500) and B at (0.1219, 0.3781, 0.5000).

#ii
A plane-wave DFT calculation with GGA-PBE was carried out for Ni5GeB2 after structural relaxation.

The density is 7.80 Mg/m³. The calculation puts the magnetic moment at 0.000 μB/f.u.

The space group is Immm (No. 71) and the conventional cell measures 3.0548, 5.1053 and 10.5830 Å, with angles of 90.00, 90.00 and 90.00 degrees. Symmetry generates all atoms from Ni at (0.0000, 0.0000, 0.0000), Ni at (0.0000, 0.2516, 0.3461), Ge at (0.0000, 0.5000, 0.0000) and B at (0.0000, 0.0000, 0.1965).

Which one is most stable, and which one is least stable? #i is the most stable of them, while #ii is the least stable.

#i
A plane-wave DFT calculation with GGA-PBE was carried out for Ni2GeB after structural relaxation.

The density is 5.95 Mg/m³. The calculation puts the magnetic moment at 0.000 μB/f.u.

The space group is I-42d (No. 122) and the conventional cell measures 4.5001, 4.5001 and 11.0654 Å, with angles of 90.00, 90.00 and 90.00 degrees. Symmetry generates all atoms from Ni at (0.1514, 0.2500, 0.1250), Ge at (0.0000, 0.0000, 0.5000) and B at (0.0000, 0.0000, 0.0000).

#ii
A plane-wave DFT calculation with GGA-PBE was carried out for Ni2GeB after structural relaxation.

The density is 7.90 Mg/m³. The calculation puts the magnetic moment at 0.000 μB/f.u.

The space group is Fm-3m (No. 225) and the conventional cell measures 5.5264, 5.5264 and 5.5264 Å, with angles of 90.00, 90.00 and 90.00 degrees. Symmetry generates all atoms from Ni at (0.2500, 0.2500, 0.2500), Ge at (0.0000, 0.0000, 0.0000) and B at (0.0000, 0.0000, 0.5000).

#iii
A plane-wave DFT calculation with GGA-PBE was carried out for Ni2GeB after structural relaxation.

The density is 7.17 Mg/m³. The calculation puts the magnetic moment at 0.000 μB/f.u.

The space group is R-3m (No. 166, hexagonal axes) and the conventional cell measures 2.9924, 2.9924 and 17.9836 Å, with angles of 90.00, 90.00 and 120.00 degrees. Symmetry generates all atoms from Ni at (0.0000, 0.0000, 0.2215), Ge at (0.0000, 0.0000, 0.0000) and B at (0.0000, 0.0000, 0.5000).

Which one is most stable, and which one is least stable? #iii is the most stable of them, while #i is the least stable.

#i
A plane-wave DFT calculation with GGA-PBE was carried out for GeB2O after structural relaxation.

The density is 4.57 Mg/m³. The calculation puts the magnetic moment at 0.000 μB/f.u.

The space group is Fm-3m (No. 225) and the conventional cell measures 5.4320, 5.4320 and 5.4320 Å, with angles of 90.00, 90.00 and 90.00 degrees. Symmetry generates all atoms from Ge at (0.0000, 0.0000, 0.0000), B at (0.2500, 0.2500, 0.2500) and O at (0.0000, 0.0000, 0.5000).

#ii
A plane-wave DFT calculation with GGA-PBE was carried out for GeB2O after structural relaxation.

The density is 4.52 Mg/m³. The calculation puts the magnetic moment at 0.000 μB/f.u.

The space group is I-42d (No. 122) and the conventional cell measures 4.3153, 4.3153 and 8.7065 Å, with angles of 90.00, 90.00 and 90.00 degrees. Symmetry generates all atoms from Ge at (0.0000, 0.0000, 0.0000), B at (0.1878, 0.2500, 0.6250) and O at (0.0000, 0.0000, 0.5000).

Which one is most stable, and which one is least stable? #ii is the most stable of them, while #i is the least stable.

#i
A plane-wave DFT calculation with GGA-PBE was carried out for GeBP2O after structural relaxation.

The density is 3.32 Mg/m³. The calculation puts the magnetic moment at 0.000 μB/f.u.

The space group is P4/mmm (No. 123) and the conventional cell measures 4.8023, 4.8023 and 3.5039 Å, with angles of 90.00, 90.00 and 90.00 degrees. Symmetry generates all atoms from Ge at (0.0000, 0.0000, 0.0000), B at (0.5000, 0.5000, 0.5000), P at (0.0000, 0.5000, 0.0000) and O at (0.0000, 0.0000, 0.5000).

#ii
A plane-wave DFT calculation with GGA-PBE was carried out for GeBP2O after structural relaxation.

The density is 3.56 Mg/m³. The calculation puts the magnetic moment at 0.000 μB/f.u.

The space group is P4/mmm (No. 123) and the conventional cell measures 5.3904, 5.3904 and 2.5917 Å, with angles of 90.00, 90.00 and 90.00 degrees. Symmetry generates all atoms from Ge at (0.0000, 0.0000, 0.0000), B at (0.5000, 0.5000, 0.5000), P at (0.0000, 0.5000, 0.5000) and O at (0.5000, 0.5000, 0.0000).

Which one is most stable, and which one is least stable? #ii is the most stable of them, while #i is the least stable.

#i
A plane-wave DFT calculation with GGA-PBE was carried out for GeBOs after structural relaxation.

The density is 11.82 Mg/m³. The calculation puts the magnetic moment at 0.000 μB/f.u.

The space group is Pmm2 (No. 25) and the conventional cell measures 2.8951, 2.9271 and 4.5381 Å, with angles of 90.00, 90.00 and 90.00 degrees. Symmetry generates all atoms from Ge at (0.0000, 0.0000, 0.0000), B at (0.0000, 0.5000, 0.6389) and Os at (0.5000, 0.0000, 0.4664).

#ii
A plane-wave DFT calculation with GGA-PBE was carried out for GeBOs after structural relaxation.

The density is 12.01 Mg/m³. The calculation puts the magnetic moment at 0.000 μB/f.u.

The space group is P2_1/m (No. 11) and the conventional cell measures 4.3083, 3.0965 and 5.7480 Å, with angles of 90.00, 99.26 and 90.00 degrees. Symmetry generates all atoms from Ge at (0.2354, 0.2500, 0.4466), B at (0.1311, 0.2500, 0.0283) and Os at (0.3200, 0.7500, 0.8173).

Which one is most stable, and which one is least stable? #ii is the most stable of them, while #i is the least stable.